# 1
Below is crystalline ScTiCu at its relaxed geometry, with properties calculated at the GGA-PBE level.

Cell lengths 5.6560, 5.4657, 5.6563 Å; angles 118.93, 45.64, 99.93 degrees
Closest atoms and distances in Å follow each position.
Atoms (fractional coordinates):
Sc 0.0419 0.5246 0.9490  3 Cu 2.60-2.91
Sc 0.6651 0.0525 0.1004  3 Cu 2.66-2.95, 2 Ti 2.94-2.98
Cu 0.3418 0.5851 0.3092  1 Cu 2.54, 3 Ti 2.61-2.68
Cu 0.0481 0.9777 0.4086  1 Cu 2.54, 3 Ti 2.56-2.74, 3 Sc 2.60-2.66
Ti 0.3790 0.0154 0.7772  3 Cu 2.68-2.74, 2 Ti 2.95, 1 Sc 2.99
Ti 0.7673 0.4400 0.5899  3 Cu 2.56-2.61

Output
E = -6.12 eV per atom
formation energy = -0.013 eV per atom


# 2
Below is crystalline Y2ZrNbNi at its relaxed geometry, with properties calculated at the GGA-PBE level.

Cell lengths 5.0755, 4.8716, 5.0755 Å; angles 90.00, 90.00, 90.00 degrees
Closest atoms and distances in Å follow each position.
Atoms (fractional coordinates):
Y 0.0000 0.0000 0.5000  2 Ni 2.54
Y 0.5000 0.0000 0.0000  2 Ni 2.54
Ni 0.0000 0.0000 0.0000  2 Nb 2.44, 4 Y 2.54
Nb 0.0000 0.5000 0.0000  2 Ni 2.44
Zr 0.5000 0.5000 0.5000  8 Y 3.52, 4 Nb 3.59

Output
E = -7.06 eV per atom
formation energy = 0.404 eV per atom


# 3
Below is crystalline TlFeP2 at its relaxed geometry, with properties calculated at the GGA-PBE level.

Cell lengths 7.4669, 7.4669, 7.4669 Å; angles 25.60, 25.60, 25.60 degrees
Closest atoms and distances in Å follow each position.
Atoms (fractional coordinates):
Fe 0.7313 0.7313 0.7313  3 P 2.37
P 0.9996 0.9996 0.9996  3 P 2.32, 3 Fe 2.37
P 0.2722 0.2722 0.2722  3 P 2.32
Tl 0.4969 0.4969 0.4969  3 Fe 2.87, 3 P 3.03

Output
E = -5.07 eV per atom
formation energy = 0.346 eV per atom


# 4
Below is crystalline Y3Ga5Cu6 at its relaxed geometry, with properties calculated at the GGA-PBE level.

Cell lengths 4.1862, 9.0432, 12.5575 Å; angles 90.00, 90.00, 90.00 degrees
Closest atoms and distances in Å follow each position.
Atoms (fractional coordinates):
Y 0.0000 0.2531 0.6940  7 Cu 2.98-3.31, 8 Ga 3.03-3.26
Y 0.5000 0.7469 0.1940  7 Cu 2.98-3.31, 8 Ga 3.03-3.26
Y 0.5000 0.7469 0.8060  7 Cu 2.98-3.31, 8 Ga 3.03-3.26
Y 0.0000 0.2364 0.0000  6 Cu 2.93-3.23, 6 Ga 3.05-3.20
Y 0.5000 0.7636 0.5000  6 Cu 2.93-3.23, 6 Ga 3.05-3.20
Y 0.0000 0.2531 0.3060  7 Cu 2.98-3.31, 8 Ga 3.03-3.26
Ga 0.0000 0.5193 0.8672  5 Cu 2.47-2.68, 1 Ga 2.72
Ga 0.0000 0.8949 0.6685  5 Cu 2.47-2.60
Ga 0.0000 0.7570 0.0000  4 Cu 2.53-2.74, 2 Ga 2.72
Ga 0.5000 0.4807 0.6328  5 Cu 2.47-2.68, 1 Ga 2.72
Ga 0.5000 0.2430 0.5000  4 Cu 2.53-2.74, 2 Ga 2.72
Ga 0.0000 0.5193 0.1328  5 Cu 2.47-2.68, 1 Ga 2.72
Ga 0.5000 0.4807 0.3672  5 Cu 2.47-2.68, 1 Ga 2.72
Ga 0.0000 0.8949 0.3315  5 Cu 2.47-2.60
Ga 0.5000 0.1051 0.8315  5 Cu 2.47-2.60
Ga 0.5000 0.1051 0.1685  5 Cu 2.47-2.60
Cu 0.0000 0.9691 0.8685  4 Ga 2.47-2.60, 2 Cu 2.67
Cu 0.5000 0.0309 0.6315  4 Ga 2.47-2.60, 2 Cu 2.67
Cu 0.5000 0.3824 0.8345  4 Ga 2.47-2.68, 1 Cu 2.53
Cu 0.5000 0.5421 0.0000  2 Cu 2.53, 4 Ga 2.68
Cu 0.0000 0.4579 0.5000  2 Cu 2.53, 4 Ga 2.68
Cu 0.0000 0.6176 0.6655  4 Ga 2.47-2.68, 1 Cu 2.53
Cu 0.0000 0.6176 0.3345  4 Ga 2.47-2.68, 1 Cu 2.53
Cu 0.5000 0.9517 0.0000  4 Ga 2.53-2.74, 4 Cu 2.67
Cu 0.0000 0.9691 0.1315  4 Ga 2.47-2.60, 2 Cu 2.67
Cu 0.5000 0.3824 0.1655  4 Ga 2.47-2.68, 1 Cu 2.53
Cu 0.0000 0.0483 0.5000  4 Ga 2.53-2.74, 4 Cu 2.67
Cu 0.5000 0.0309 0.3685  4 Ga 2.47-2.60, 2 Cu 2.67

Output
E = -4.65 eV per atom
formation energy = -0.431 eV per atom


# 5
Below is crystalline LiHoTm2Au4 at its relaxed geometry, with properties calculated at the GGA-PBE level.

Cell lengths 4.9368, 4.9368, 8.5959 Å; angles 73.31, 73.31, 60.00 degrees
Closest atoms and distances in Å follow each position.
Atoms (fractional coordinates):
Li 0.5000 0.5000 0.5000  8 Au 3.05-3.07
Ho 0.0000 0.0000 0.0000  8 Au 2.98-3.01
Tm 0.7560 0.7560 0.7321  8 Au 2.96-3.16
Tm 0.2440 0.2440 0.2679  8 Au 2.96-3.16
Au 0.3737 0.3737 0.8788  3 Ho 3.01, 1 Li 3.07, 4 Tm 3.09-3.16
Au 0.8775 0.8775 0.3674  4 Tm 2.96, 1 Ho 2.98, 3 Li 3.05
Au 0.1225 0.1225 0.6326  4 Tm 2.96, 1 Ho 2.98, 3 Li 3.05
Au 0.6263 0.6263 0.1212  3 Ho 3.01, 1 Li 3.07, 4 Tm 3.09-3.16

Output
E = -4.36 eV per atom
formation energy = -0.797 eV per atom


# 6
Below is crystalline KY2Al at its relaxed geometry, with properties calculated at the GGA-PBE level.

Cell lengths 7.0592, 7.0592, 7.0592 Å; angles 150.65, 128.86, 60.06 degrees
Closest atoms and distances in Å follow each position.
Atoms (fractional coordinates):
Y 0.0468 0.0468 0.0000  2 Al 3.06
Y 0.4532 0.4532 0.0000  2 Al 3.06
K 0.7500 0.2500 0.5000  4 Al 3.53, 2 K 3.58, 4 Y 3.93
Al 0.2500 0.7500 0.5000  4 Y 3.06

Output
E = -4.24 eV per atom
formation energy = 0.201 eV per atom


# 7
Below is crystalline Ac2PrSe3 at its relaxed geometry, with properties calculated at the GGA-PBE level.

Cell lengths 7.6477, 7.6477, 13.8026 Å; angles 100.77, 100.77, 109.01 degrees
Closest atoms and distances in Å follow each position.
Atoms (fractional coordinates):
Ac 0.9994 0.4994 0.9987  6 Se 3.11-3.15
Ac 0.4175 0.4175 0.8349  6 Se 3.13-3.16
Ac 0.8325 0.3325 0.6651  6 Se 3.13-3.16
Ac 0.2506 0.2506 0.5013  6 Se 3.11-3.15
Ac 0.7494 0.7494 0.4987  6 Se 3.11-3.15
Ac 0.6675 0.1675 0.3349  6 Se 3.13-3.16
Ac 0.5825 0.5825 0.1651  6 Se 3.13-3.16
Ac 0.5006 0.0006 0.0013  6 Se 3.11-3.15
Pr 0.9166 0.9166 0.8332  6 Se 3.05-3.06
Pr 0.3334 0.8334 0.6668  6 Se 3.05-3.06
Pr 0.1666 0.6666 0.3332  6 Se 3.05-3.06
Pr 0.0834 0.0834 0.1668  6 Se 3.05-3.06
Se 0.1655 0.6734 0.8304  2 Pr 3.06, 4 Ac 3.12-3.16
Se 0.6649 0.1570 0.8304  2 Pr 3.06, 4 Ac 3.12-3.16
Se 0.0845 0.0766 0.6696  2 Pr 3.06, 4 Ac 3.12-3.16
Se 0.5851 0.5930 0.6696  2 Pr 3.06, 4 Ac 3.12-3.16
Se 0.0093 0.5093 0.5000  2 Pr 3.05, 4 Ac 3.11-3.16
Se 0.4907 0.9907 0.5000  2 Pr 3.05, 4 Ac 3.11-3.16
Se 0.4070 0.4149 0.3304  2 Pr 3.06, 4 Ac 3.12-3.16
Se 0.9234 0.9155 0.3304  2 Pr 3.06, 4 Ac 3.12-3.16
Se 0.8430 0.3351 0.1696  2 Pr 3.06, 4 Ac 3.12-3.16
Se 0.3266 0.8345 0.1696  2 Pr 3.06, 4 Ac 3.12-3.16
Se 0.2407 0.2407 0.0000  2 Pr 3.05, 4 Ac 3.11-3.16
Se 0.7593 0.7593 0.0000  2 Pr 3.05, 4 Ac 3.11-3.16

Output
E_form (uncorrected) = -1857 meV per atom
E = -5.76 eV per atom


# 8
Below is crystalline InGaRe2Os at its relaxed geometry, with properties calculated at the GGA-PBE level.

Cell lengths 4.8076, 4.6846, 4.8076 Å; angles 90.00, 90.00, 90.00 degrees
Closest atoms and distances in Å follow each position.
Atoms (fractional coordinates):
Re 0.0000 0.0000 0.5000  2 Os 2.40
Re 0.5000 0.0000 0.0000  2 Os 2.40
Os 0.0000 0.0000 0.0000  2 Ga 2.34, 4 Re 2.40
Ga 0.0000 0.5000 0.0000  2 Os 2.34
In 0.5000 0.5000 0.5000  8 Re 3.36, 4 Ga 3.40

Output
E = -6.92 eV per atom
formation energy = 1.454 eV per atom


# 9
Below is crystalline Cs3SCl6 at its relaxed geometry, with properties calculated at the GGA-PBE level.

Cell lengths 9.4001, 9.4001, 9.4001 Å; angles 96.33, 96.33, 96.33 degrees
Closest atoms and distances in Å follow each position.
Atoms (fractional coordinates):
Cs 0.3735 0.8879 0.6938  6 Cl 3.33-3.66
Cs 0.8879 0.6938 0.3735  6 Cl 3.33-3.66
Cs 0.3062 0.6265 0.1121  6 Cl 3.33-3.66
Cs 0.6938 0.3735 0.8879  6 Cl 3.33-3.66
Cs 0.1121 0.3062 0.6265  6 Cl 3.33-3.66
Cs 0.6265 0.1121 0.3062  6 Cl 3.33-3.66
S 0.0000 0.0000 0.0000  6 Cl 2.36
S 0.5000 0.5000 0.5000  6 Cl 2.79
Cl 0.2507 0.9918 0.0424  1 S 2.36
Cl 0.0082 0.9576 0.7493  1 S 2.36
Cl 0.5612 0.7784 0.4276  1 S 2.79
Cl 0.9576 0.7493 0.0082  1 S 2.36
Cl 0.4276 0.5612 0.7784  1 S 2.79
Cl 0.2216 0.5724 0.4388  1 S 2.79
Cl 0.7784 0.4276 0.5612  1 S 2.79
Cl 0.5724 0.4388 0.2216  1 S 2.79
Cl 0.0424 0.2507 0.9918  1 S 2.36
Cl 0.4388 0.2216 0.5724  1 S 2.79
Cl 0.9918 0.0424 0.2507  1 S 2.36
Cl 0.7493 0.0082 0.9576  1 S 2.36

Output
E_form (uncorrected) = -1102 meV per atom
E = -2.88 eV per atom


# 10
Below is crystalline TbSm7Dy4 at its relaxed geometry, with properties calculated at the GGA-PBE level.

Cell lengths 7.2431, 6.2769, 11.4989 Å; angles 79.55, 50.96, 90.02 degrees
Closest atoms and distances in Å follow each position.
Atoms (fractional coordinates):
Tb 0.0000 0.0000 0.0000  2 Dy 3.58, 10 Sm 3.58-3.63
Sm 0.7478 0.5005 0.0007  3 Dy 3.56-3.58, 7 Sm 3.58-3.64, 2 Tb 3.62-3.63
Sm 0.2522 0.4995 0.9993  3 Dy 3.56-3.58, 7 Sm 3.58-3.64, 2 Tb 3.62-3.63
Sm 0.0832 0.2791 0.6658  6 Dy 3.56-3.64, 5 Sm 3.56-3.63, 1 Tb 3.58
Sm 0.9168 0.7209 0.3342  6 Dy 3.56-3.64, 5 Sm 3.56-3.63, 1 Tb 3.58
Sm 0.3341 0.7783 0.6658  6 Sm 3.56-3.63, 5 Dy 3.57-3.63, 1 Tb 3.58
Sm 0.5000 0.0000 0.0000  4 Dy 3.57, 6 Sm 3.58-3.62, 2 Tb 3.62
Sm 0.6659 0.2217 0.3342  6 Sm 3.56-3.63, 5 Dy 3.57-3.63, 1 Tb 3.58
Dy 0.4156 0.7216 0.3331  8 Sm 3.56-3.64, 3 Dy 3.56-3.62, 1 Tb 3.58
Dy 0.5844 0.2784 0.6669  8 Sm 3.56-3.64, 3 Dy 3.56-3.62, 1 Tb 3.58
Dy 0.8344 0.7796 0.6654  4 Dy 3.54-3.62, 8 Sm 3.56-3.62
Dy 0.1656 0.2204 0.3346  4 Dy 3.54-3.62, 8 Sm 3.56-3.62

Output
E = -4.67 eV per atom
formation energy = 0.002 eV per atom


Q: Among the records above, which one has the highest E?
A: Cs3SCl6